1.
DFT (PBE) results for a relaxed Zn3Ag5Sn12 crystal. Values from VASP.

Computed properties:
The value obtained for the density of states at the Fermi level is 0.26 states/eV/atom. The value obtained for the electronic total energy is -252.40 eV per cell. The value obtained for the spin magnetization is 0.0 μB/f.u. The value obtained for the energy of formation from the pure elements is 14.53 kJ per mole of atoms. For the calculated volume, the calculation gives 27.40 Å³/atom.

The structure in Quantum ESPRESSO input format:
```
&SYSTEM
  ibrav = 0, nat = 80, ntyp = 3
/
ATOMIC_SPECIES
Zn 65.41 Zn.upf
Ag 107.87 Ag.upf
Sn 118.71 Sn.upf
ATOMIC_POSITIONS crystal
Zn 0.125 0.250 0.375
Zn 0.125 0.375 0.750
Zn 0.250 0.375 0.125
Zn 0.250 0.875 0.625
Zn 0.375 0.125 0.250
Zn 0.375 0.750 0.125
Zn 0.625 0.250 0.875
Zn 0.625 0.875 0.750
Zn 0.750 0.125 0.375
Zn 0.750 0.625 0.875
Zn 0.875 0.625 0.250
Zn 0.875 0.750 0.625
Ag 0.000 0.000 0.000
Ag 0.000 0.000 0.500
Ag 0.000 0.500 0.000
Ag 0.000 0.500 0.500
Ag 0.125 0.750 0.875
Ag 0.125 0.875 0.250
Ag 0.250 0.125 0.875
Ag 0.250 0.625 0.375
Ag 0.375 0.250 0.625
Ag 0.375 0.625 0.750
Ag 0.500 0.000 0.000
Ag 0.500 0.000 0.500
Ag 0.500 0.500 0.000
Ag 0.500 0.500 0.500
Ag 0.625 0.375 0.250
Ag 0.625 0.750 0.375
Ag 0.750 0.375 0.625
Ag 0.750 0.875 0.125
Ag 0.875 0.125 0.750
Ag 0.875 0.250 0.125
Sn 0.063 0.234 0.128
Sn 0.063 0.329 0.935
Sn 0.065 0.628 0.394
Sn 0.065 0.937 0.671
Sn 0.106 0.734 0.671
Sn 0.106 0.872 0.435
Sn 0.128 0.063 0.234
Sn 0.128 0.565 0.894
Sn 0.171 0.234 0.606
Sn 0.171 0.437 0.565
Sn 0.234 0.128 0.063
Sn 0.234 0.606 0.171
Sn 0.266 0.329 0.894
Sn 0.266 0.437 0.372
Sn 0.329 0.894 0.266
Sn 0.329 0.935 0.063
Sn 0.372 0.266 0.437
Sn 0.372 0.606 0.935
Sn 0.394 0.065 0.628
Sn 0.394 0.829 0.766
Sn 0.435 0.106 0.872
Sn 0.435 0.829 0.563
Sn 0.437 0.372 0.266
Sn 0.437 0.565 0.171
Sn 0.563 0.435 0.829
Sn 0.563 0.628 0.734
Sn 0.565 0.171 0.437
Sn 0.565 0.894 0.128
Sn 0.606 0.171 0.234
Sn 0.606 0.935 0.372
Sn 0.628 0.394 0.065
Sn 0.628 0.734 0.563
Sn 0.671 0.065 0.937
Sn 0.671 0.106 0.734
Sn 0.734 0.563 0.628
Sn 0.734 0.671 0.106
Sn 0.766 0.394 0.829
Sn 0.766 0.872 0.937
Sn 0.829 0.563 0.435
Sn 0.829 0.766 0.394
Sn 0.872 0.435 0.106
Sn 0.872 0.937 0.766
Sn 0.894 0.128 0.565
Sn 0.894 0.266 0.329
Sn 0.935 0.063 0.329
Sn 0.935 0.372 0.606
Sn 0.937 0.671 0.065
Sn 0.937 0.766 0.872
CELL_PARAMETERS angstrom
-8.184 8.184 8.184
8.184 -8.184 8.184
8.184 8.184 -8.184
```

=====

2.
DFT (PBE) results for a relaxed Zn2Ag2Sn crystal. Values from VASP.

Computed properties:
The value obtained for the density of states at the Fermi level is 0.29 states/eV/atom. The value obtained for the electronic total energy is -23.91 eV per cell. The value obtained for the spin magnetization is 0.0 μB/f.u. For the energy above the most stable polymorph in this dataset, the calculation gives 16 meV per atom. The value obtained for the energy of formation from the pure elements is 5.76 kJ per mole of atoms. For the calculated volume, the calculation gives 19.47 Å³/atom.

The structure in Quantum ESPRESSO input format:
```
&SYSTEM
  ibrav = 0, nat = 10, ntyp = 3
/
ATOMIC_SPECIES
Zn 65.41 Zn.upf
Ag 107.87 Ag.upf
Sn 118.71 Sn.upf
ATOMIC_POSITIONS crystal
Zn 0.000 0.500 0.250
Zn 0.000 0.500 0.750
Zn 0.500 0.000 0.250
Zn 0.500 0.000 0.750
Ag 0.000 0.000 0.106
Ag 0.000 0.000 0.894
Ag 0.500 0.500 0.394
Ag 0.500 0.500 0.606
Sn 0.000 0.000 0.500
Sn 0.500 0.500 0.000
CELL_PARAMETERS angstrom
3.757 0.000 0.000
0.000 3.757 0.000
0.000 0.000 13.793
```

=====

3.
DFT (PBE) results for a relaxed Zn3Ag6Sn crystal. Values from VASP.

Computed properties:
The value obtained for the density of states at the Fermi level is 0.19 states/eV/atom. The value obtained for the electronic total energy is -49.01 eV per cell. The value obtained for the spin magnetization is 0.0 μB/f.u. For the energy above the most stable polymorph in this dataset, the calculation gives 0 meV per atom. The value obtained for the energy of formation from the pure elements is 4.12 kJ per mole of atoms. For the calculated volume, the calculation gives 18.33 Å³/atom.

The structure in Quantum ESPRESSO input format:
```
&SYSTEM
  ibrav = 0, nat = 20, ntyp = 3
/
ATOMIC_SPECIES
Zn 65.41 Zn.upf
Ag 107.87 Ag.upf
Sn 118.71 Sn.upf
ATOMIC_POSITIONS crystal
Zn 0.002 0.998 0.500
Zn 0.241 0.496 0.570
Zn 0.496 0.241 0.070
Zn 0.504 0.759 0.570
Zn 0.759 0.504 0.070
Zn 0.998 0.002 0.000
Ag 0.063 0.459 0.946
Ag 0.189 0.811 0.740
Ag 0.198 0.258 0.260
Ag 0.258 0.198 0.760
Ag 0.443 0.557 0.955
Ag 0.459 0.063 0.446
Ag 0.541 0.937 0.946
Ag 0.557 0.443 0.455
Ag 0.742 0.802 0.260
Ag 0.802 0.742 0.760
Ag 0.811 0.189 0.240
Ag 0.937 0.541 0.446
Sn 0.218 0.782 0.217
Sn 0.782 0.218 0.717
CELL_PARAMETERS angstrom
4.841 -6.126 0.000
4.841 6.126 0.000
0.000 0.000 6.183
```

=====

4.
DFT (PBE) results for a relaxed Zn4Ag5Sn crystal. Values from VASP.

Computed properties:
The value obtained for the density of states at the Fermi level is 0.30 states/eV/atom. The value obtained for the electronic total energy is -23.35 eV per cell. The value obtained for the spin magnetization is 0.0 μB/f.u. The value obtained for the energy of formation from the pure elements is 0.01 kJ per mole of atoms. For the calculated volume, the calculation gives 17.51 Å³/atom.

The structure in Quantum ESPRESSO input format:
```
&SYSTEM
  ibrav = 0, nat = 10, ntyp = 3
/
ATOMIC_SPECIES
Zn 65.41 Zn.upf
Ag 107.87 Ag.upf
Sn 118.71 Sn.upf
ATOMIC_POSITIONS crystal
Zn 0.000 0.000 0.093
Zn 0.000 0.000 0.282
Zn 0.000 0.000 0.718
Zn 0.000 0.000 0.907
Ag 0.500 0.500 0.000
Ag 0.500 0.500 0.187
Ag 0.500 0.500 0.374
Ag 0.500 0.500 0.626
Ag 0.500 0.500 0.813
Sn 0.000 0.000 0.500
CELL_PARAMETERS angstrom
2.971 0.000 0.000
0.000 2.971 0.000
0.000 0.000 19.848
```

=====

5.
DFT (PBE) results for a relaxed Zn6Ag5Sn crystal. Values from VASP.

Computed properties:
The value obtained for the density of states at the Fermi level is 0.23 states/eV/atom. The value obtained for the electronic total energy is -25.60 eV per cell. The value obtained for the spin magnetization is 0.0 μB/f.u. The value obtained for the energy of formation from the pure elements is 2.46 kJ per mole of atoms. For the calculated volume, the calculation gives 16.98 Å³/atom.

The structure in Quantum ESPRESSO input format:
```
&SYSTEM
  ibrav = 0, nat = 12, ntyp = 3
/
ATOMIC_SPECIES
Zn 65.41 Zn.upf
Ag 107.87 Ag.upf
Sn 118.71 Sn.upf
ATOMIC_POSITIONS crystal
Zn 0.000 0.000 0.244
Zn 0.000 0.000 0.756
Zn 0.325 0.674 0.766
Zn 0.326 0.675 0.234
Zn 0.674 0.325 0.766
Zn 0.675 0.326 0.234
Ag 0.159 0.841 0.000
Ag 0.170 0.830 0.500
Ag 0.500 0.500 0.000
Ag 0.830 0.170 0.500
Ag 0.841 0.159 0.000
Sn 0.500 0.500 0.500
CELL_PARAMETERS angstrom
2.338 -6.926 0.000
2.338 6.926 0.000
-0.036 0.000 6.292
```

=====

6.
DFT (PBE) results for a relaxed Zn3Ag6Sn crystal. Values from VASP.

Computed properties:
The value obtained for the density of states at the Fermi level is 0.28 states/eV/atom. The value obtained for the electronic total energy is -48.87 eV per cell. The value obtained for the spin magnetization is 0.0 μB/f.u. For the energy above the most stable polymorph in this dataset, the calculation gives 7 meV per atom. The value obtained for the energy of formation from the pure elements is 4.82 kJ per mole of atoms. For the calculated volume, the calculation gives 18.90 Å³/atom.

The structure in Quantum ESPRESSO input format:
```
&SYSTEM
  ibrav = 0, nat = 20, ntyp = 3
/
ATOMIC_SPECIES
Zn 65.41 Zn.upf
Ag 107.87 Ag.upf
Sn 118.71 Sn.upf
ATOMIC_POSITIONS crystal
Zn 0.090 0.250 0.006
Zn 0.329 0.750 0.463
Zn 0.400 0.250 0.874
Zn 0.600 0.750 0.126
Zn 0.671 0.250 0.537
Zn 0.910 0.750 0.994
Ag 0.112 0.250 0.477
Ag 0.218 0.750 0.191
Ag 0.240 0.750 0.680
Ag 0.259 0.750 0.948
Ag 0.421 0.250 0.146
Ag 0.451 0.250 0.640
Ag 0.549 0.750 0.360
Ag 0.579 0.750 0.854
Ag 0.741 0.250 0.052
Ag 0.760 0.250 0.320
Ag 0.782 0.250 0.809
Ag 0.888 0.750 0.523
Sn 0.035 0.250 0.725
Sn 0.965 0.750 0.275
CELL_PARAMETERS angstrom
9.032 0.000 0.000
0.000 4.101 0.000
-4.474 0.000 10.205
```

=====

7.
DFT (PBE) results for a relaxed Zn12Ag6Sn crystal. Values from VASP.

Computed properties:
The value obtained for the density of states at the Fermi level is 0.28 states/eV/atom. The value obtained for the electronic total energy is -35.39 eV per cell. The value obtained for the spin magnetization is 0.0 μB/f.u. The value obtained for the energy of formation from the pure elements is 5.14 kJ per mole of atoms. For the calculated volume, the calculation gives 17.31 Å³/atom.

The structure in Quantum ESPRESSO input format:
```
&SYSTEM
  ibrav = 0, nat = 19, ntyp = 3
/
ATOMIC_SPECIES
Zn 65.41 Zn.upf
Ag 107.87 Ag.upf
Sn 118.71 Sn.upf
ATOMIC_POSITIONS crystal
Zn 0.118 0.648 0.480
Zn 0.127 0.238 0.783
Zn 0.217 0.873 0.762
Zn 0.238 0.783 0.127
Zn 0.352 0.520 0.882
Zn 0.480 0.118 0.648
Zn 0.520 0.882 0.352
Zn 0.648 0.480 0.118
Zn 0.762 0.217 0.873
Zn 0.783 0.127 0.238
Zn 0.873 0.762 0.217
Zn 0.882 0.352 0.520
Ag 0.066 0.400 0.168
Ag 0.168 0.066 0.400
Ag 0.400 0.168 0.066
Ag 0.600 0.832 0.934
Ag 0.832 0.934 0.600
Ag 0.934 0.600 0.832
Sn 0.500 0.500 0.500
CELL_PARAMETERS angstrom
4.891 2.824 3.969
-4.891 2.824 3.969
0.000 -5.648 3.969
```

=====

8.
DFT (PBE) results for a relaxed Zn5Ag6Sn crystal. Values from VASP.

Computed properties:
The value obtained for the density of states at the Fermi level is 0.24 states/eV/atom. The value obtained for the electronic total energy is -27.41 eV per cell. The value obtained for the spin magnetization is 0.0 μB/f.u. The value obtained for the energy of formation from the pure elements is 0.53 kJ per mole of atoms. For the calculated volume, the calculation gives 17.14 Å³/atom.

The structure in Quantum ESPRESSO input format:
```
&SYSTEM
  ibrav = 0, nat = 12, ntyp = 3
/
ATOMIC_SPECIES
Zn 65.41 Zn.upf
Ag 107.87 Ag.upf
Sn 118.71 Sn.upf
ATOMIC_POSITIONS crystal
Zn 0.000 0.000 0.000
Zn 0.331 0.669 0.500
Zn 0.333 0.667 0.000
Zn 0.667 0.333 0.000
Zn 0.669 0.331 0.500
Ag 0.170 0.825 0.759
Ag 0.175 0.830 0.241
Ag 0.500 0.500 0.227
Ag 0.500 0.500 0.773
Ag 0.825 0.170 0.759
Ag 0.830 0.175 0.241
Sn 0.000 0.000 0.500
CELL_PARAMETERS angstrom
2.204 -6.651 0.000
2.204 6.651 0.000
-0.057 0.000 7.019
```